# 1
# VP2Pt | Alexandria | PBE | relaxed
data_VP2Pt
_space_group_name_H-M_alt 'P 1'
_space_group_IT_number 1
_space_group_name_Hall 'P 1'
_cell_length_a 5.4226
_cell_length_b 5.4226
_cell_length_c 6.4509
_cell_angle_alpha 65.15
_cell_angle_beta 65.15
_cell_angle_gamma 90.00
loop_
_atom_site_label
_atom_site_type_symbol
_atom_site_fract_x
_atom_site_fract_y
_atom_site_fract_z
Pt1 Pt 0.0000 0.0000 0.0000
Pt2 Pt 0.7500 0.2500 0.5000
V1 V 0.2500 0.7500 0.5000
V2 V 0.5000 0.5000 0.0000
P1 P 0.6220 0.1250 0.2500
P2 P 0.3750 0.3780 0.7500
P3 P 0.1280 0.6250 0.2500
P4 P 0.8750 0.8720 0.7500
# - DFT total energy (eV for the cell shown) = -53.54
# - formation enthalpy at 0 K (eV per atom) = -0.198



# 2
# VPPt3 | Alexandria | PBE | relaxed
data_VPPt3
_space_group_name_H-M_alt 'P 1'
_space_group_IT_number 1
_space_group_name_Hall 'P 1'
_cell_length_a 4.6230
_cell_length_b 4.6230
_cell_length_c 4.6230
_cell_angle_alpha 90.00
_cell_angle_beta 90.00
_cell_angle_gamma 90.00
loop_
_atom_site_label
_atom_site_type_symbol
_atom_site_fract_x
_atom_site_fract_y
_atom_site_fract_z
V1 V 0.0000 0.0000 0.0000
Pt1 Pt 0.0000 0.0000 0.5000
Pt2 Pt 0.0000 0.5000 0.0000
Pt3 Pt 0.5000 0.0000 0.0000
P1 P 0.5000 0.5000 0.5000
# - DFT total energy (eV for the cell shown) = -27.38
# - formation enthalpy at 0 K (eV per atom) = 1.055